[1]
Compound: Li4Nd3Pb4
Source: Alexandria via LeMat-Bulk
Functional: GGA-PBE
Structure: relaxed

E_form	-5.68	eV per formula unit
relative energy among the computed polymorphs	0.00	eV/f.u.
space-group type	Immm (71)

```
Li4Nd3Pb4
1.0
-3.1471 -3.0972 -1.7787
-0.4267 -3.3292 6.5520
-4.0624 7.9834 -0.3437
Pb Li Nd
4 4 3
Direct
0.2151 0.7151 0.4303 Pb
0.5000 0.2059 0.0000 Pb
0.5000 0.7941 0.0000 Pb
0.7849 0.2849 0.5697 Pb
0.6727 0.4842 0.3454 Li
0.6727 0.8611 0.3454 Li
0.3273 0.5158 0.6546 Li
0.3273 0.1389 0.6546 Li
0.0000 0.5000 0.0000 Nd
0.8721 0.8721 0.7441 Nd
0.1279 0.1279 0.2559 Nd
```

=====

[2]
Compound: K2SrAu
Source: Alexandria via LeMat-Bulk
Functional: GGA-PBE
Structure: relaxed

E_form	-0.35	eV per formula unit
relative energy among the computed polymorphs	0.75	eV/f.u.
space-group type	P4/mmm (123)

```
K2SrAu
1.0
-0.1891 3.3886 2.2807
1.4817 -2.0707 3.1994
10.2841 2.6326 -3.0588
Sr K Au
1 2 1
Direct
0.5000 0.5000 0.2500 Sr
0.0000 0.0000 0.9212 K
0.0000 0.0000 0.5788 K
0.5000 0.5000 0.7500 Au
```

=====

[3]
Compound: In2SbAu
Source: Alexandria via LeMat-Bulk
Functional: GGA-PBE
Structure: relaxed

relative energy among the computed polymorphs	0.26	eV/f.u.
raw formation energy	-0.01	eV/atom
space-group type	Imm2 (44)

```
In2SbAu
1.0
-3.9424 -1.7820 5.2888
1.5697 -3.6823 5.5378
1.3541 5.3178 -4.0715
Au In Sb
1 2 1
Direct
0.2505 0.7505 0.5000 Au
0.0550 0.0550 0.0000 In
0.7519 0.2519 0.5000 In
0.4426 0.4426 0.0000 Sb
```

=====

[4]
Compound: Ce2YHg8
Source: Alexandria via LeMat-Bulk
Functional: GGA-PBE
Structure: relaxed

E_form	-3.13	eV per formula unit
space-group type	Immm (71)

```
Ce2YHg8
1.0
-2.1517 4.7248 0.6194
-0.9146 0.5448 -7.3321
-5.1427 -5.7538 3.9574
Hg Y Ce
8 1 2
Direct
0.0000 0.7169 0.0000 Hg
0.3579 0.1471 0.7159 Hg
0.0000 0.2831 0.0000 Hg
0.6421 0.4313 0.2841 Hg
0.8406 0.8406 0.6812 Hg
0.6421 0.8529 0.2841 Hg
0.1594 0.1594 0.3188 Hg
0.3579 0.5687 0.7159 Hg
0.5000 0.0000 0.0000 Y
0.1944 0.6944 0.3888 Ce
0.8056 0.3056 0.6112 Ce
```

=====

[5]
Compound: K3Ag2PbF9
Source: Alexandria via LeMat-Bulk
Functional: GGA-PBE
Structure: relaxed

raw formation energy	-2.07	eV/atom
space-group type	P-3m1 (164)

```
K3Ag2PbF9
1.0
6.3424 0.0000 0.0000
-3.1712 5.4927 0.0000
0.0000 0.0000 8.0905
F K Ag Pb
9 3 2 1
Direct
0.5000 0.0000 0.0000 F
0.5000 0.5000 0.0000 F
0.6758 0.8379 0.3265 F
0.8379 0.1621 0.6735 F
0.0000 0.5000 0.0000 F
0.1621 0.8379 0.3265 F
0.3242 0.1621 0.6735 F
0.8379 0.6758 0.6735 F
0.1621 0.3242 0.3265 F
0.6667 0.3333 0.2615 K
0.0000 0.0000 0.0000 K
0.3333 0.6667 0.7385 K
0.3333 0.6667 0.1680 Ag
0.6667 0.3333 0.8320 Ag
0.0000 0.0000 0.5000 Pb
```

=====

[6]
Compound: LaTa2Zn
Source: Alexandria via LeMat-Bulk
Functional: GGA-PBE
Structure: relaxed

E_form	1.49	eV per formula unit
space-group type	P4/mmm (123)

```
LaTa2Zn
1.0
2.9383 0.0112 0.0000
-0.0107 2.9383 0.0000
0.0000 0.0000 9.4313
Ta Zn La
2 1 1
Direct
0.0000 0.0000 0.0486 Ta
0.0000 0.0000 0.4514 Ta
0.5000 0.5000 0.2500 Zn
0.5000 0.5000 0.7500 La
```

=====

[7]
Compound: BaNaGeAs2
Source: Alexandria via LeMat-Bulk
Functional: GGA-PBE
Structure: relaxed

E_form	-2.18	eV per formula unit
relative energy among the computed polymorphs	0.00	eV/f.u.
space-group type	Cmme (67)

```
BaNaGeAs2
1.0
-0.6988 5.9454 2.3206
-6.5075 -0.6912 -0.1890
3.3284 -2.0211 6.1804
Na As Ba Ge
2 4 2 2
Direct
0.5000 0.7500 0.0000 Na
0.5000 0.2500 0.0000 Na
0.7421 0.6539 0.3079 As
0.2579 0.1539 0.3079 As
0.7421 0.8461 0.6921 As
0.2579 0.3461 0.6921 As
0.2343 0.7500 0.5000 Ba
0.7657 0.2500 0.5000 Ba
0.0000 0.0000 0.0000 Ge
0.0000 0.5000 0.0000 Ge
```

=====

[8]
Compound: K2NaCd5Ag2
Source: Alexandria via LeMat-Bulk
Functional: GGA-PBE
Structure: relaxed

E_form	-0.23	eV per formula unit
space-group type	P4/mbm (127)

```
K2NaCd5Ag2
1.0
-1.6285 0.4679 3.3845
-1.1751 -12.0016 1.0937
10.8670 -0.5801 5.3091
Na Cd Ag K
2 10 4 4
Direct
0.0000 0.0000 0.0000 Na
0.0000 0.5000 0.5000 Na
0.5000 0.2972 0.5587 Cd
0.5000 0.0587 0.7972 Cd
0.5000 0.2028 0.0587 Cd
0.5000 0.9413 0.2028 Cd
0.5000 0.0000 0.5000 Cd
0.5000 0.4413 0.2972 Cd
0.5000 0.5000 0.0000 Cd
0.5000 0.7972 0.9413 Cd
0.5000 0.7028 0.4413 Cd
0.5000 0.5587 0.7028 Cd
0.0000 0.6251 0.8749 Ag
0.0000 0.8749 0.3749 Ag
0.0000 0.1251 0.6251 Ag
0.0000 0.3749 0.1251 Ag
0.0000 0.6776 0.1776 K
0.0000 0.1776 0.3224 K
0.0000 0.8224 0.6776 K
0.0000 0.3224 0.8224 K
```

=====

Sequential VASP energy output: -3.861, -1.876, -3.230, -2.171, -4.035, -7.104, -3.868, -1.403 eV/atom
Sequential DOS(E_F) output: 3.08, 3.20, 2.21, 16.74, 6.18, 5.02, 5.21, 8.98 states/eV per cell